*P*
First-principles (PBE) data for crystalline Li3OsS at its relaxed geometry, as listed in the Alexandria database.

abc: 4.8473 4.8473 4.8473
angles: 90.00 90.00 90.00
Last column: magnetic moment on the atom in μB.
Sites, in units of the cell vectors:
Li (0.5000, 0.0000, 0.0000)  0.00
Li (0.0000, 0.5000, 0.0000)  0.00
Li (0.0000, 0.0000, 0.5000)  -0.01
Os (0.0000, 0.0000, 0.0000)  2.15
S (0.5000, 0.5000, 0.5000)  0.31

Summary:
The space-group type is Pm-3m, No. 221. As for the magnetic moment: 3.00 μB per formula unit. The calculation puts the density of states at the Fermi level at 0.218 states/eV/atom. The density comes out at 3.54 g/cm³.

*Q*
First-principles (PBE) data for crystalline Li3OsS at its relaxed geometry, as listed in the Alexandria database.

abc: 4.4860 4.4860 4.4860
angles: 90.00 90.00 90.00
Last column: magnetic moment on the atom in μB.
Sites, in units of the cell vectors:
Li (0.0000, 0.5000, 0.0000)  -0.01
Li (0.5000, 0.0000, 0.0000)  -0.01
Li (0.0000, 0.0000, 0.5000)  0.00
Os (0.5000, 0.5000, 0.5000)  2.64
S (0.0000, 0.0000, 0.0000)  0.11

Summary:
The space-group type is Pm-3m, No. 221. As for the magnetic moment: 3.00 μB per formula unit. The calculation puts the density of states at the Fermi level at 0.571 states/eV/atom. The density comes out at 4.47 g/cm³.

Which structure loses on stability? *P* does.

*P*
First-principles (PBE) data for crystalline LiSb2Os at its relaxed geometry, as listed in the Alexandria database.

abc: 3.2329 5.7283 5.6370
angles: 46.77 90.00 90.00
Sites, in units of the cell vectors:
Sb (0.5000, 0.5000, 0.0000)
Sb (0.0000, 0.0000, 0.0000)
Li (0.5000, 0.5000, 0.5000)
Os (0.0000, 0.0000, 0.5000)

Summary:
The space-group type is P2/m, No. 10. As for the magnetic moment: 0.00 μB per formula unit. The calculation puts the density of states at the Fermi level at 0.674 states/eV/atom. The density comes out at 9.62 g/cm³.

*Q*
First-principles (PBE) data for crystalline LiSb2Os at its relaxed geometry, as listed in the Alexandria database.

abc: 4.4316 4.4316 5.9884
angles: 80.42 80.42 43.78
Sites, in units of the cell vectors:
Os (0.7500, 0.7500, 0.7500)
Li (0.2500, 0.2500, 0.2500)
Sb (0.4867, 0.4867, 0.5223)
Sb (0.0133, 0.0133, 0.9777)

Summary:
The space-group type is C2/m, No. 12. As for the magnetic moment: 0.00 μB per formula unit. The calculation puts the density of states at the Fermi level at 0.405 states/eV/atom. The density comes out at 9.14 g/cm³.

Which structure loses on stability? *P* does.

*P*
First-principles (PBE) data for crystalline LiSbTe2Os at its relaxed geometry, as listed in the Alexandria database.

abc: 4.8767 4.8767 4.6618
angles: 90.00 90.00 90.00
Sites, in units of the cell vectors:
Sb (0.0000, 0.0000, 0.5000)
Te (0.0000, 0.5000, 0.0000)
Te (0.5000, 0.0000, 0.0000)
Os (0.5000, 0.5000, 0.5000)
Li (0.0000, 0.0000, 0.0000)

Summary:
The space-group type is P4/mmm, No. 123. As for the magnetic moment: 0.00 μB per formula unit. The calculation puts the density of states at the Fermi level at 1.126 states/eV/atom. The density comes out at 8.60 g/cm³.

*Q*
First-principles (PBE) data for crystalline LiSbTe2Os at its relaxed geometry, as listed in the Alexandria database.

abc: 5.4977 5.4977 4.9961
angles: 90.00 90.00 90.00
Sites, in units of the cell vectors:
Te (0.0000, 0.5000, 0.0000)
Te (0.5000, 0.0000, 0.0000)
Os (0.0000, 0.0000, 0.0000)
Sb (0.0000, 0.0000, 0.5000)
Li (0.5000, 0.5000, 0.5000)

Summary:
The space-group type is P4/mmm, No. 123. As for the magnetic moment: 0.00 μB per formula unit. The calculation puts the density of states at the Fermi level at 1.202 states/eV/atom. The density comes out at 6.31 g/cm³.

Which structure loses on stability? *P* does.

*P*
First-principles (PBE) data for crystalline Li2ScOs at its relaxed geometry, as listed in the Alexandria database.

abc: 4.6451 4.6451 5.4927
angles: 85.23 85.23 34.09
Sites, in units of the cell vectors:
Li (0.9965, 0.9965, 0.0343)
Li (0.2471, 0.2471, 0.2528)
Os (0.5006, 0.5006, 0.4987)
Sc (0.7558, 0.7558, 0.7143)

Summary:
The space-group type is Cm, No. 8. As for the magnetic moment: 0.00 μB per formula unit. The calculation puts the density of states at the Fermi level at 0.827 states/eV/atom. The density comes out at 6.25 g/cm³.

*Q*
First-principles (PBE) data for crystalline Li2ScOs at its relaxed geometry, as listed in the Alexandria database.

abc: 5.6496 5.6496 4.3969
angles: 67.52 67.52 31.02
Sites, in units of the cell vectors:
Os (0.2500, 0.2500, 0.2500)
Li (0.5223, 0.5223, 0.4769)
Li (0.9777, 0.9777, 0.0231)
Sc (0.7500, 0.7500, 0.7500)

Summary:
The space-group type is C2/m, No. 12. As for the magnetic moment: 0.00 μB per formula unit. The calculation puts the density of states at the Fermi level at 0.565 states/eV/atom. The density comes out at 6.23 g/cm³.

*R*
First-principles (PBE) data for crystalline Li2ScOs at its relaxed geometry, as listed in the Alexandria database.

abc: 4.6300 5.6037 2.8693
angles: 77.85 83.67 112.64
Sites, in units of the cell vectors:
Li (0.0000, 0.0000, 0.0000)
Li (0.5000, 0.0000, 0.5000)
Sc (0.5000, 0.5000, 0.0000)
Os (0.0000, 0.5000, 0.5000)

Summary:
The space-group type is C2/m, No. 12. As for the magnetic moment: 0.00 μB per formula unit. The calculation puts the density of states at the Fermi level at 0.447 states/eV/atom. The density comes out at 6.30 g/cm³.

Which structure loses on stability? *P* does.

*P*
First-principles (PBE) data for crystalline Li2ScOs at its relaxed geometry, as listed in the Alexandria database.

abc: 2.6923 2.6923 9.9638
angles: 90.00 90.00 113.84
Sites, in units of the cell vectors:
Li (0.0000, 0.0000, 0.4708)
Li (0.0000, 0.0000, 0.0292)
Sc (0.5000, 0.5000, 0.7500)
Os (0.5000, 0.5000, 0.2500)

Summary:
The space-group type is Cmmm, No. 65. As for the magnetic moment: 0.00 μB per formula unit. The calculation puts the density of states at the Fermi level at 1.134 states/eV/atom. The density comes out at 6.26 g/cm³.

*Q*
First-principles (PBE) data for crystalline Li2ScOs at its relaxed geometry, as listed in the Alexandria database.

abc: 5.1491 5.1491 5.1491
angles: 136.84 136.84 62.69
Sites, in units of the cell vectors:
Li (0.5000, 0.5000, 0.0000)
Li (0.0000, 0.0000, 0.0000)
Sc (0.7500, 0.2500, 0.5000)
Os (0.2500, 0.7500, 0.5000)

Summary:
The space-group type is I4/mmm, No. 139. As for the magnetic moment: 0.00 μB per formula unit. The calculation puts the density of states at the Fermi level at 0.711 states/eV/atom. The density comes out at 6.55 g/cm³.

*R*
First-principles (PBE) data for crystalline Li2ScOs at its relaxed geometry, as listed in the Alexandria database.

abc: 3.7650 3.7650 4.5734
angles: 90.00 90.00 90.00
Sites, in units of the cell vectors:
Li (0.0000, 0.0000, 0.0000)
Li (0.5000, 0.5000, 0.0000)
Sc (0.0000, 0.5000, 0.5000)
Os (0.5000, 0.0000, 0.5000)

Summary:
The space-group type is P4/mmm, No. 123. As for the magnetic moment: 0.00 μB per formula unit. The calculation puts the density of states at the Fermi level at 0.737 states/eV/atom. The density comes out at 6.38 g/cm³.

Which structure loses on stability? *P* does.

*P*
First-principles (PBE) data for crystalline LiScOs at its relaxed geometry, as listed in the Alexandria database.

abc: 4.4928 4.4928 2.7005
angles: 90.00 90.00 120.00
Sites, in units of the cell vectors:
Os (0.6667, 0.3333, 0.2739)
Li (0.0000, 0.0000, 0.0190)
Sc (0.3333, 0.6667, 0.7071)

Summary:
The space-group type is P3m1, No. 156. As for the magnetic moment: 0.00 μB per formula unit. The calculation puts the density of states at the Fermi level at 0.946 states/eV/atom. The density comes out at 8.52 g/cm³.

*Q*
First-principles (PBE) data for crystalline LiScOs at its relaxed geometry, as listed in the Alexandria database.

abc: 4.8264 4.8264 4.8264
angles: 139.69 139.69 58.32
Sites, in units of the cell vectors:
Li (0.0140, 0.0140, 0.0000)
Os (0.6600, 0.6600, 0.0000)
Sc (0.3260, 0.3260, 0.0000)

Summary:
The space-group type is I4mm, No. 107. As for the magnetic moment: 0.00 μB per formula unit. The calculation puts the density of states at the Fermi level at 0.400 states/eV/atom. The density comes out at 8.62 g/cm³.

*R*
First-principles (PBE) data for crystalline LiScOs at its relaxed geometry, as listed in the Alexandria database.

abc: 4.3378 4.3378 4.3378
angles: 60.00 60.00 60.00
Sites, in units of the cell vectors:
Os (0.5000, 0.5000, 0.5000)
Sc (0.2500, 0.2500, 0.2500)
Li (0.0000, 0.0000, 0.0000)

Summary:
The space-group type is F-43m, No. 216. As for the magnetic moment: 0.00 μB per formula unit. The calculation puts the density of states at the Fermi level at 0.956 states/eV/atom. The density comes out at 6.97 g/cm³.

Which structure loses on stability? *R* does.